[1]
Compound: Dy2Al4Ni3Au
Source: the Alexandria database
Functional: PBE
Structure: optimized geometry

Output
Size of the total moment (μB per cell): 0.000
Formation enthalpy at 0 K (eV/atom): -0.606
Crystal system: tetragonal

a = 4.0482 Å, b = 4.0482 Å, c = 10.5243 Å
α = 90.00°, β = 90.00°, γ = 90.00°
Positions (direct):
Dy1 0.0000 0.5000 0.2365
Dy2 0.5000 0.0000 0.7635
Al1 0.0000 0.0000 0.0000
Al2 0.0000 0.5000 0.6412
Al3 0.5000 0.0000 0.3588
Al4 0.5000 0.5000 0.0000
Ni1 0.0000 0.5000 0.8674
Ni2 0.5000 0.0000 0.1326
Ni3 0.5000 0.5000 0.5000
Au1 0.0000 0.0000 0.5000

***

[2]
Compound: DyAl3PdAu
Source: the Alexandria database
Functional: PBE
Structure: optimized geometry

Output
Size of the total moment (μB per cell): 0.000
Formation enthalpy at 0 K (eV/atom): -0.541
Crystal system: orthorhombic

a = 7.0951 Å, b = 7.0951 Å, c = 5.8570 Å
α = 90.00°, β = 90.00°, γ = 129.54°
Positions (direct):
Dy1 0.2042 0.7958 0.7500
Dy2 0.7958 0.2042 0.2500
Al1 0.2137 0.2137 0.0000
Al2 0.2137 0.2137 0.5000
Al3 0.3662 0.6338 0.2500
Al4 0.6338 0.3662 0.7500
Al5 0.7863 0.7863 0.0000
Al6 0.7863 0.7863 0.5000
Pd1 0.4137 0.5863 0.7500
Pd2 0.5863 0.4137 0.2500
Au1 0.1600 0.8400 0.2500
Au2 0.8400 0.1600 0.7500

***

Q: What is the formula in the first record?
A: Dy2Al4Ni3Au